BeTl5 GGA-PBE optimized geometry; relative energy among the computed polymorphs = 43 meV per atom; DFT formation energy = 0.3089 eV/atom
1.0
1.751 -9.509 0.000
1.751 9.509 0.000
0.000 0.000 5.261
Be Tl
1 5
direct
0.000 0.000 0.000 Be
0.171 0.829 0.500 Tl
0.384 0.616 0.000 Tl
0.500 0.500 0.500 Tl
0.616 0.384 0.000 Tl
0.829 0.171 0.500 Tl

AlPRu4 GGA-PBE optimized geometry; DFT formation energy = 0.5388 eV/atom
1.0
0.000 3.596 3.596
3.596 0.000 3.596
3.596 3.596 0.000
Al P Ru
1 1 4
direct
0.000 0.000 0.000 Al
0.750 0.750 0.750 P
0.375 0.375 0.375 Ru
0.375 0.375 0.874 Ru
0.375 0.874 0.375 Ru
0.874 0.375 0.375 Ru